## NaCeEr2Te4 (PBE)

Data for an optimized crystal structure of NaCeEr2Te4.

Unit cell a=4.3656 b=7.6528 c=7.7230 alpha=108.85 beta=90.00 gamma=90.00
Atoms (fractional coordinates):
Te 0.0000 0.7575 0.2619
Er 0.0000 0.5000 0.5000
Na 0.0000 0.0000 0.0000
Te 0.0000 0.2425 0.7381
Ce 0.5000 0.5000 0.0000
Te 0.5000 0.2520 0.2623
Te 0.5000 0.7480 0.7377
Er 0.5000 0.0000 0.5000

Summary:
The value obtained for the formation energy from raw total energies is -1.292 eV per atom. The value obtained for the density of states at the Fermi level is 1.12 states/eV/atom. The calculation puts the mass density at 6.85 Mg/m³. As for the crystal system: monoclinic.